# 1
DFT (PBE) results for a geometry-optimized Sm3HoTm7 structure.

Properties
- DOS(E_F): 16.8 states/eV/cell
- Total magnetization: 0.000 μB/atom
- Offset from the most stable computed form: 25 meV per atom
- Formation enthalpy at 0 K: 0.18 eV/atom

Unit cell a=8.5724 b=6.9862 c=6.9862 alpha=120.00 beta=90.00 gamma=90.00
Fractional positions:
Sm 0.7835 0.5001 0.4999
Sm 0.7835 0.5001 0.0001
Sm 0.7835 0.9999 0.4999
Ho 0.4455 0.3333 0.6667
Tm 0.1210 0.1674 0.8326
Tm 0.1210 0.1674 0.3349
Tm 0.1211 0.6667 0.3333
Tm 0.4451 0.8325 0.1675
Tm 0.4451 0.3350 0.1675
Tm 0.4451 0.8325 0.6650
Tm 0.1210 0.6651 0.8326

***

# 2
DFT (PBE) results for a geometry-optimized HoEr2CuS5 structure.

Properties
- DOS(E_F): 0.2 states/eV/cell
- Total magnetization: 0.000 μB/atom
- Raw formation energy: -1467.9 kJ/mol of formula units

Unit cell a=3.7953 b=8.5517 c=11.3422 alpha=90.00 beta=90.00 gamma=102.82
Fractional positions:
Ho 0.8055 0.6110 0.5099
Ho 0.1945 0.3890 0.0099
Er 0.8809 0.7617 0.8065
Er 0.1054 0.2109 0.6837
Er 0.1191 0.2383 0.3065
Er 0.8946 0.7891 0.1837
Cu 0.5582 0.1165 0.9561
Cu 0.4418 0.8835 0.4561
S 0.3582 0.7165 0.0014
S 0.6810 0.3619 0.8422
S 0.4971 0.9942 0.7787
S 0.2899 0.5798 0.6795
S 0.9579 0.9158 0.5659
S 0.6418 0.2835 0.5014
S 0.3190 0.6381 0.3422
S 0.5029 0.0058 0.2787
S 0.7101 0.4202 0.1795
S 0.0421 0.0842 0.0659

***

# 3
DFT (PBE) results for a geometry-optimized Mg2TiAgH structure.

Properties
- DOS(E_F): 3.1 states/eV/cell
- Total magnetization: 0.126 μB/atom
- Offset from the most stable computed form: 0 meV per atom

Unit cell a=4.5077 b=4.5077 c=3.7506 alpha=90.00 beta=90.00 gamma=90.00
Last column: magnetic moment on the atom in μB.
Fractional positions:
H 0.0000 0.0000 0.0000  0.00
Mg 0.0000 0.5000 0.0000  0.00
Mg 0.5000 0.0000 0.0000  0.00
Ag 0.5000 0.5000 0.5000  0.01
Ti 0.0000 0.0000 0.5000  0.48

***

# 4
DFT (PBE) results for a geometry-optimized Rb3Tm structure.

Properties
- DOS(E_F): 6.0 states/eV/cell
- Total magnetization: 0.107 μB/atom
- Offset from the most stable computed form: 6 meV per atom
- Formation enthalpy at 0 K: 0.63 eV/atom

Unit cell a=6.3644 b=6.3644 c=6.3644 alpha=90.00 beta=90.00 gamma=90.00
Last column: magnetic moment on the atom in μB.
Fractional positions:
Tm 0.0000 0.0000 0.0000  0.18
Rb 0.0000 0.5000 0.5000  0.00
Rb 0.5000 0.0000 0.5000  0.00
Rb 0.5000 0.5000 0.0000  0.00

***

# 5
DFT (PBE) results for a geometry-optimized Sr4NiRh structure.

Properties
- DOS(E_F): 4.9 states/eV/cell
- Total magnetization: 0.000 μB/atom
- Formation enthalpy at 0 K: 1.06 eV/atom

Unit cell a=6.5423 b=6.5423 c=6.5423 alpha=60.00 beta=60.00 gamma=60.00
Fractional positions:
Sr 0.8762 0.3746 0.3746
Sr 0.3746 0.3746 0.8762
Sr 0.3746 0.8762 0.3746
Sr 0.3746 0.3746 0.3746
Ni 0.7500 0.7500 0.7500
Rh 0.0000 0.0000 0.0000

***

# 6
DFT (PBE) results for a geometry-optimized DyLuRh4 structure.

Properties
- DOS(E_F): 4.2 states/eV/cell
- Total magnetization: 0.000 μB/atom
- Formation enthalpy at 0 K: -0.76 eV/atom

Unit cell a=5.3114 b=5.3114 c=5.3114 alpha=60.00 beta=60.00 gamma=60.00
Fractional positions:
Lu 0.0000 0.0000 0.0000
Rh 0.6251 0.6251 0.1247
Rh 0.6251 0.1247 0.6251
Rh 0.6251 0.6251 0.6251
Rh 0.1247 0.6251 0.6251
Dy 0.2500 0.2500 0.2500

***

# 7
DFT (PBE) results for a geometry-optimized HoTmB4 structure.

Properties
- DOS(E_F): 1.6 states/eV/cell
- Total magnetization: 0.000 μB/atom
- Formation enthalpy at 0 K: -0.48 eV/atom

Unit cell a=3.5271 b=3.5271 c=6.2474 alpha=106.40 beta=106.40 gamma=90.00
Fractional positions:
Ho 0.2500 0.7500 0.5000
Tm 0.0000 0.0000 0.0000
B 0.6704 0.1704 0.3408
B 0.5785 0.5785 0.1570
B 0.8296 0.3296 0.6592
B 0.4215 0.4215 0.8430

***

# 8
DFT (PBE) results for a geometry-optimized ZrTiRe2 structure.

Properties
- DOS(E_F): 11.0 states/eV/cell
- Total magnetization: 0.000 μB/atom
- Formation enthalpy at 0 K: 0.48 eV/atom

Unit cell a=7.2492 b=7.2492 c=5.8002 alpha=51.32 beta=51.32 gamma=90.00
Fractional positions:
Re 0.6063 0.1250 0.2500
Re 0.1437 0.6250 0.2500
Re 0.3750 0.3937 0.7500
Re 0.8750 0.8563 0.7500
Zr 0.0000 0.0000 0.0000
Zr 0.7500 0.2500 0.5000
Ti 0.5000 0.5000 0.0000
Ti 0.2500 0.7500 0.5000

***

# 9
DFT (PBE) results for a geometry-optimized U6S5 structure.

Properties
- DOS(E_F): 25.2 states/eV/cell
- Total magnetization: 1.338 μB/atom
- Raw formation energy: -1128.1 kJ/mol of formula units

Unit cell a=6.6450 b=6.6357 c=6.5681 alpha=80.15 beta=70.02 gamma=59.95
Last column: magnetic moment on the atom in μB.
Fractional positions:
U 0.7663 0.0000 0.7509  2.20
U 0.2337 0.0000 0.2491  2.20
U 0.3942 0.6832 0.7632  2.14
U 0.9226 0.6832 0.2368  2.14
U 0.6058 0.3168 0.2368  2.14
U 0.0774 0.3168 0.7632  2.14
S 0.5000 0.0000 0.5000  -0.07
S 0.3360 0.3280 0.0000  -0.07
S 0.6640 0.6720 0.0000  -0.07
S 0.1780 0.6441 0.5000  -0.07
S 0.8220 0.3559 0.5000  -0.07

***

# 10
DFT (PBE) results for a geometry-optimized NbSi2SeBr structure.

Properties
- DOS(E_F): 4.1 states/eV/cell
- Total magnetization: 0.294 μB/atom
- Raw formation energy: 694.6 kJ/mol of formula units

Unit cell a=5.0030 b=4.8767 c=5.0030 alpha=90.00 beta=90.00 gamma=90.00
Last column: magnetic moment on the atom in μB.
Fractional positions:
Nb 0.0000 0.5000 0.0000  1.28
Si 0.0000 0.0000 0.5000  -0.01
Si 0.5000 0.0000 0.0000  -0.03
Se 0.5000 0.5000 0.5000  -0.02
Br 0.0000 0.0000 0.0000  0.01

***

# 11
DFT (PBE) results for a geometry-optimized Tl2CuAg structure.

Properties
- DOS(E_F): 0.9 states/eV/cell
- Total magnetization: 0.000 μB/atom
- Offset from the most stable computed form: 0 meV per atom
- Formation enthalpy at 0 K: 0.17 eV/atom

Unit cell a=3.3147 b=3.5512 c=7.6961 alpha=90.00 beta=90.00 gamma=90.00
Fractional positions:
Ag 0.0000 0.0000 0.5534
Cu 0.5000 0.5000 0.7091
Tl 0.0000 0.0000 0.9441
Tl 0.5000 0.5000 0.2935

***

# 12
DFT (PBE) results for a geometry-optimized Nd2Sm2Y3 structure.

Properties
- DOS(E_F): 12.1 states/eV/cell
- Total magnetization: 0.000 μB/atom
- Offset from the most stable computed form: 18 meV per atom
- Formation enthalpy at 0 K: 0.13 eV/atom

Unit cell a=3.5186 b=8.8718 c=8.6937 alpha=115.96 beta=101.68 gamma=90.00
Fractional positions:
Nd 0.9214 0.7968 0.8428
Nd 0.0786 0.2032 0.1572
Sm 0.6384 0.9089 0.2769
Sm 0.3616 0.0911 0.7231
Y 0.0000 0.5000 0.0000
Y 0.2205 0.6465 0.4409
Y 0.7795 0.3535 0.5591